Record 1
This record from Alexandria via LeMat-Bulk describes a relaxed structure of Pu2InTe. The functional is PBE.

Computed properties:
Final energy (eV/atom): -8.984
Distance to the lowest polymorph of the same formula (kJ/mol of formula units): 50
Formation energy without anion corrections (eV per atom): -0.348
Symmetry: No. 166
Magnetic moment (Bohr magnetons per cell): 11.68

Cell: 9.017 9.017 9.017 Å, 25.99 25.99 25.99°
Positions (direct):
Pu 0.245 0.245 0.245
Pu 0.755 0.755 0.755
In 0.000 0.000 0.000
Te 0.500 0.500 0.500

---

Record 2
This record from Alexandria via LeMat-Bulk describes a relaxed structure of La2Tb2Zn3. The functional is PBE.

Computed properties:
ΔH_f (0 K) (eV per atom): -0.21
Final energy (eV/atom): -3.483
Symmetry: No. 2
Magnetic moment (Bohr magnetons per cell): 0.00

Cell: 5.073 5.075 8.913 Å, 73.57 90.00 60.12°
Positions (direct):
La 0.127 0.247 0.385
La 0.873 0.753 0.615
Tb 0.376 0.749 0.127
Tb 0.624 0.251 0.873
Zn 0.000 0.500 0.000
Zn 0.257 0.985 0.770
Zn 0.743 0.015 0.230